Entry from the Alexandria database: an optimized crystal structure of KZr2Br (PBE-GGA).

Size of the total moment = 0.00 μB per cell
Energy relative to the lowest polymorph listed for this composition = 0.549 eV per atom
Energy relative to the elements, uncorrected = 0.309 eV/atom

Lattice parameters (Å, degrees): 3.3197 3.3197 11.6689 90.00 90.00 121.06
Closest atoms and distances in Å follow each position.
Fractional positions:
K 0.0000 0.0000 0.0000  6 K 3.27-3.32
Zr 0.5000 0.5000 0.2964  2 Br 2.88
Zr 0.5000 0.5000 0.7036  2 Br 2.88
Br 0.0000 0.0000 0.5000  4 Zr 2.88

=====

Entry from the Alexandria database: an optimized crystal structure of KZr2Br (PBE-GGA).

Size of the total moment = 0.00 μB per cell
Energy relative to the lowest polymorph listed for this composition = 0.538 eV per atom
Energy relative to the elements, uncorrected = 0.298 eV/atom

Lattice parameters (Å, degrees): 14.1251 14.1251 14.1251 162.95 162.95 24.21
Closest atoms and distances in Å follow each position.
Fractional positions:
K 0.0000 0.0000 0.0000  4 Br 2.96
K 0.7500 0.2500 0.5000  4 Br 2.96
Zr 0.1301 0.6250 0.0051  4 Zr 2.93-2.99
Zr 0.3750 0.3801 0.5051  4 Zr 2.93-2.99
Zr 0.6199 0.1250 0.9949  4 Zr 2.93-2.99
Zr 0.8750 0.8699 0.4949  4 Zr 2.93-2.99
Br 0.2500 0.7500 0.5000  4 K 2.96
Br 0.5000 0.5000 0.0000  4 K 2.96

=====

Entry from the Alexandria database: an optimized crystal structure of KZrBr2 (PBE-GGA).

Size of the total moment = 0.00 μB per cell
Energy relative to the lowest polymorph listed for this composition = 0.000 eV per atom
Energy relative to the elements, uncorrected = -0.810 eV/atom

Lattice parameters (Å, degrees): 3.5470 3.6290 8.5193 90.00 90.00 90.00
Closest atoms and distances in Å follow each position.
Fractional positions:
K 0.0000 0.0000 0.0000  8 Br 3.28, 4 K 3.55-3.63
Zr 0.0000 0.5000 0.5000  4 Br 2.81
Br 0.5000 0.5000 0.2439  2 Zr 2.81
Br 0.5000 0.5000 0.7561  2 Zr 2.81

=====

Entry from the Alexandria database: an optimized crystal structure of KZrBr3 (PBE-GGA).

Size of the total moment = 0.53 μB per cell
Energy relative to the elements, uncorrected = -1.141 eV/atom

Lattice parameters (Å, degrees): 5.4421 5.4421 5.4421 90.00 90.00 90.00
Closest atoms and distances in Å follow each position.
Fractional positions:
K 0.0000 0.0000 0.0000  12 Br 3.85
Zr 0.5000 0.5000 0.5000  6 Br 2.72
Br 0.0000 0.5000 0.5000  2 Zr 2.72
Br 0.5000 0.0000 0.5000  2 Zr 2.72
Br 0.5000 0.5000 0.0000  2 Zr 2.72

=====

| no. | uncorrected energy (eV/atom) |
| --- | --- |
| 1 | -4.66 |
| 2 | -4.67 |
| 3 | -4.06 |
| 4 | -4.07 |